#i
# HfFe2Os2 PBE-GGA optimized geometry
# Calculated volume   142.1 Å³ per cell
data_HfFe2Os2
_cell_length_a 7.269
_cell_length_b 7.269
_cell_length_c 2.690
_cell_angle_alpha 90.00
_cell_angle_beta 90.00
_cell_angle_gamma 90.00
_symmetry_space_group_name_H-M 'P 4/m b m'
_symmetry_Int_Tables_number 127
_symmetry_space_group_name_Hall '-P 4 2ab'
loop_
_atom_site_label
_atom_site_type_symbol
_atom_site_fract_x
_atom_site_fract_y
_atom_site_fract_z
Hf1 Hf 0.000 0.000 0.000
Fe1 Fe 0.171 0.329 0.500
Os1 Os 0.126 0.626 0.000

***

#ii
# HfFe2Os2 PBE-GGA optimized geometry
# Calculated volume   140.5 Å³ per cell
data_HfFe2Os2
_cell_length_a 7.187
_cell_length_b 7.187
_cell_length_c 2.720
_cell_angle_alpha 90.00
_cell_angle_beta 90.00
_cell_angle_gamma 90.00
_symmetry_space_group_name_H-M 'P 4/m b m'
_symmetry_Int_Tables_number 127
_symmetry_space_group_name_Hall '-P 4 2ab'
loop_
_atom_site_label
_atom_site_type_symbol
_atom_site_fract_x
_atom_site_fract_y
_atom_site_fract_z
Hf1 Hf 0.000 0.000 0.000
Fe1 Fe 0.119 0.381 0.000
Os1 Os 0.175 0.675 0.500

***

#iii
# HfFe2Os2 PBE-GGA optimized geometry
# Calculated volume   158.9 Å³ per cell
data_HfFe2Os2
_cell_length_a 3.913
_cell_length_b 3.913
_cell_length_c 10.378
_cell_angle_alpha 90.00
_cell_angle_beta 90.00
_cell_angle_gamma 90.00
_symmetry_space_group_name_H-M 'I 4/m m m'
_symmetry_Int_Tables_number 139
_symmetry_space_group_name_Hall '-I 4 2'
loop_
_atom_site_label
_atom_site_type_symbol
_atom_site_fract_x
_atom_site_fract_y
_atom_site_fract_z
Hf1 Hf 0.000 0.000 0.000
Fe1 Fe 0.000 0.500 0.250
Os1 Os 0.000 0.000 0.386

***

Of them, the most stable is #ii and the least stable is #iii.

***

#i
# HfFeP3 PBE-GGA optimized geometry
# Calculated volume   119.6 Å³ per cell
data_HfFeP3
_cell_length_a 4.928
_cell_length_b 4.928
_cell_length_c 4.928
_cell_angle_alpha 90.00
_cell_angle_beta 90.00
_cell_angle_gamma 90.00
_symmetry_space_group_name_H-M 'P m -3 m'
_symmetry_Int_Tables_number 221
_symmetry_space_group_name_Hall '-P 4 2 3'
loop_
_atom_site_label
_atom_site_type_symbol
_atom_site_fract_x
_atom_site_fract_y
_atom_site_fract_z
Hf1 Hf 0.000 0.000 0.000
Fe1 Fe 0.500 0.500 0.500
P1 P 0.000 0.000 0.500

***

#ii
# HfFeP3 PBE-GGA optimized geometry
# Calculated volume   84.3 Å³ per cell
data_HfFeP3
_cell_length_a 4.385
_cell_length_b 4.385
_cell_length_c 4.385
_cell_angle_alpha 90.00
_cell_angle_beta 90.00
_cell_angle_gamma 90.00
_symmetry_space_group_name_H-M 'P m -3 m'
_symmetry_Int_Tables_number 221
_symmetry_space_group_name_Hall '-P 4 2 3'
loop_
_atom_site_label
_atom_site_type_symbol
_atom_site_fract_x
_atom_site_fract_y
_atom_site_fract_z
Hf1 Hf 0.000 0.000 0.000
Fe1 Fe 0.500 0.500 0.500
P1 P 0.000 0.500 0.500

***

Of them, the most stable is #ii and the least stable is #i.